# 1
# Re2SiAg (PBE, relaxed)
data_Re2SiAg
_symmetry_space_group_name_H-M 'P 1'
_symmetry_Int_Tables_number 1
_cell_length_a 3.846
_cell_length_b 3.846
_cell_length_c 4.048
_cell_angle_alpha 90.00
_cell_angle_beta 90.00
_cell_angle_gamma 90.00
loop_
_symmetry_equiv_pos_as_xyz
'x,y,z'
loop_
_atom_site_label
_atom_site_fract_x
_atom_site_fract_y
_atom_site_fract_z
Re1 0.000 0.500 0.000
Re2 0.500 0.000 0.000
Si1 0.000 0.000 0.500
Ag1 0.500 0.500 0.500
# V ... 59.88 Å³ per cell
# Uncorrected formation energy ... 638 meV per atom

# 2
# Tb2CeDy3S6 (PBE, relaxed)
data_Tb2CeDy3S6
_symmetry_space_group_name_H-M 'P 1'
_symmetry_Int_Tables_number 1
_cell_length_a 8.791
_cell_length_b 8.791
_cell_length_c 7.897
_cell_angle_alpha 103.01
_cell_angle_beta 103.01
_cell_angle_gamma 25.76
loop_
_symmetry_equiv_pos_as_xyz
'x,y,z'
loop_
_atom_site_label
_atom_site_fract_x
_atom_site_fract_y
_atom_site_fract_z
Tb1 0.165 0.165 0.330
Tb2 0.835 0.835 0.670
Ce1 0.500 0.500 0.000
Dy1 0.165 0.165 0.835
Dy2 0.500 0.500 0.500
Dy3 0.835 0.835 0.165
S1 0.000 0.000 0.258
S2 0.000 0.000 0.742
S3 0.330 0.330 0.916
S4 0.333 0.333 0.416
S5 0.667 0.667 0.584
S6 0.670 0.670 0.084
# V ... 258.08 Å³ per cell
# Uncorrected formation energy ... -2011 meV per atom

# 3
# Rb4ZnI6 (PBE, relaxed)
data_Rb4ZnI6
_symmetry_space_group_name_H-M 'P 1'
_symmetry_Int_Tables_number 1
_cell_length_a 9.947
_cell_length_b 9.947
_cell_length_c 17.293
_cell_angle_alpha 109.21
_cell_angle_beta 109.21
_cell_angle_gamma 54.07
loop_
_symmetry_equiv_pos_as_xyz
'x,y,z'
loop_
_atom_site_label
_atom_site_fract_x
_atom_site_fract_y
_atom_site_fract_z
Rb1 0.141 0.859 0.500
Rb2 0.206 0.513 0.042
Rb3 0.396 0.750 0.827
Rb4 0.513 0.206 0.542
Rb5 0.521 0.940 0.181
Rb6 0.750 0.396 0.327
Rb7 0.859 0.141 0.000
Rb8 0.940 0.521 0.681
Zn1 0.053 0.530 0.278
Zn2 0.530 0.053 0.778
I1 0.195 0.617 0.632
I2 0.212 0.239 0.328
I3 0.239 0.212 0.828
I4 0.246 0.641 0.291
I5 0.285 0.798 0.014
I6 0.507 0.902 0.620
I7 0.617 0.195 0.132
I8 0.641 0.246 0.791
I9 0.756 0.808 0.869
I10 0.798 0.285 0.514
I11 0.808 0.756 0.369
I12 0.902 0.507 0.120
# V ... 1287.60 Å³ per cell
# Uncorrected formation energy ... -1227 meV per atom

# 4
# BaSc2OsN (PBE, relaxed)
data_BaSc2OsN
_symmetry_space_group_name_H-M 'P 1'
_symmetry_Int_Tables_number 1
_cell_length_a 5.416
_cell_length_b 5.416
_cell_length_c 4.174
_cell_angle_alpha 90.00
_cell_angle_beta 90.00
_cell_angle_gamma 90.00
loop_
_symmetry_equiv_pos_as_xyz
'x,y,z'
loop_
_atom_site_label
_atom_site_fract_x
_atom_site_fract_y
_atom_site_fract_z
Ba1 0.000 0.000 0.000
Sc1 0.000 0.500 0.000
Sc2 0.500 0.000 0.000
Os1 0.500 0.500 0.500
N1 0.000 0.000 0.500
# V ... 122.43 Å³ per cell
# Uncorrected formation energy ... 2104 meV per atom

# 5
# CsMgCrCl6 (PBE, relaxed)
data_CsMgCrCl6
_symmetry_space_group_name_H-M 'P 1'
_symmetry_Int_Tables_number 1
_cell_length_a 6.397
_cell_length_b 6.397
_cell_length_c 7.877
_cell_angle_alpha 90.00
_cell_angle_beta 90.00
_cell_angle_gamma 120.00
loop_
_symmetry_equiv_pos_as_xyz
'x,y,z'
loop_
_atom_site_label
_atom_site_fract_x
_atom_site_fract_y
_atom_site_fract_z
Cs1 0.000 0.000 0.000
Mg1 0.667 0.333 0.500
Cr1 0.333 0.667 0.500
Cl1 0.017 0.380 0.675
Cl2 0.017 0.638 0.325
Cl3 0.362 0.380 0.325
Cl4 0.362 0.983 0.675
Cl5 0.620 0.638 0.675
Cl6 0.620 0.983 0.325
# V ... 279.18 Å³ per cell
# Uncorrected formation energy ... -1586 meV per atom

# 6
# BiPd3Cl (PBE, relaxed)
data_BiPd3Cl
_symmetry_space_group_name_H-M 'P 1'
_symmetry_Int_Tables_number 1
_cell_length_a 5.136
_cell_length_b 5.136
_cell_length_c 5.136
_cell_angle_alpha 90.00
_cell_angle_beta 90.00
_cell_angle_gamma 90.00
loop_
_symmetry_equiv_pos_as_xyz
'x,y,z'
loop_
_atom_site_label
_atom_site_fract_x
_atom_site_fract_y
_atom_site_fract_z
Bi1 0.000 0.000 0.000
Pd1 0.000 0.000 0.500
Pd2 0.000 0.500 0.000
Pd3 0.500 0.000 0.000
Cl1 0.500 0.500 0.500
# V ... 135.51 Å³ per cell
# Energy above the lowest structure with this stoichiometry ... 1.82 eV/f.u.
# Uncorrected formation energy ... 648 meV per atom

# 7
# MgTeBr6 (PBE, relaxed)
data_MgTeBr6
_symmetry_space_group_name_H-M 'P 1'
_symmetry_Int_Tables_number 1
_cell_length_a 7.537
_cell_length_b 7.537
_cell_length_c 6.811
_cell_angle_alpha 98.97
_cell_angle_beta 98.97
_cell_angle_gamma 126.27
loop_
_symmetry_equiv_pos_as_xyz
'x,y,z'
loop_
_atom_site_label
_atom_site_fract_x
_atom_site_fract_y
_atom_site_fract_z
Mg1 0.000 0.000 0.000
Te1 0.500 0.500 0.500
Br1 0.100 0.379 0.240
Br2 0.258 0.258 0.743
Br3 0.379 0.100 0.240
Br4 0.621 0.900 0.760
Br5 0.742 0.742 0.257
Br6 0.900 0.621 0.760
# V ... 292.85 Å³ per cell
# Energy above the lowest structure with this stoichiometry ... 0.00 eV/f.u.
# Uncorrected formation energy ... -701 meV per atom

# 8
# LaNdSmZr (PBE, relaxed)
data_LaNdSmZr
_symmetry_space_group_name_H-M 'P 1'
_symmetry_Int_Tables_number 1
_cell_length_a 5.601
_cell_length_b 5.601
_cell_length_c 5.601
_cell_angle_alpha 60.00
_cell_angle_beta 60.00
_cell_angle_gamma 60.00
loop_
_symmetry_equiv_pos_as_xyz
'x,y,z'
loop_
_atom_site_label
_atom_site_fract_x
_atom_site_fract_y
_atom_site_fract_z
La1 0.000 0.000 0.000
Nd1 0.500 0.500 0.500
Sm1 0.750 0.750 0.750
Zr1 0.250 0.250 0.250
# Calculated formation energy ... 0.90 eV/f.u.
# V ... 124.27 Å³ per cell

| no. | VASP energy (eV/atom) | size of the total moment (μB/f.u.) | N(E_F) (states/eV per cell) |
| --- | --- | --- | --- |
| 1 | -7.654 | 0.0 | 3.6 |
| 2 | -6.492 | 0.9 | 9.6 |
| 3 | -2.540 | 0.3 | 0.0 |
| 4 | -4.725 | 0.8 | 3.9 |
| 5 | -4.158 | 3.0 | 0.0 |
| 6 | -3.613 | 0.0 | 3.8 |
| 7 | -2.547 | 0.0 | 0.0 |
| 8 | -5.517 | 0.3 | 7.6 |